No. 1
Material: Rb2PrNbS4
Method: DFT, PBE
State: optimized geometry

The density of states at the Fermi level comes out at 0.315 states/eV per atom. For the total energy, the calculation gives -5.33 eV per atom. The calculation puts the magnetic moment at 2.008 μB per formula unit. The energy relative to the elements, uncorrected comes out at -1.16 eV/atom.

Geometry as CIF:
```
data_Rb2PrNbS4
_chemical_formula_sum 'Rb2 Pr1 Nb1 S4'
_symmetry_space_group_name_H-M 'P 1'
_symmetry_Int_Tables_number 1
_cell_length_a 7.162
_cell_length_b 7.162
_cell_length_c 7.162
_cell_angle_alpha 116.30
_cell_angle_beta 116.30
_cell_angle_gamma 96.54
loop_
_symmetry_equiv_pos_as_xyz
'x,y,z'
loop_
_atom_site_label
_atom_site_fract_x
_atom_site_fract_y
_atom_site_fract_z
_atom_site_occupancy
Rb1 0.000 0.000 0.000 1
Rb2 0.750 0.250 0.500 1
Pr1 0.250 0.750 0.500 1
Nb1 0.500 0.500 0.000 1
S1 0.221 0.623 0.065 1
S2 0.377 0.441 0.597 1
S3 0.559 0.156 0.935 1
S4 0.844 0.779 0.403 1
```



No. 2
Material: TlZnIO2
Method: DFT, PBE
State: optimized geometry

The density of states at the Fermi level comes out at 1.550 states/eV per atom. For the total energy, the calculation gives -3.01 eV per atom. For the excess energy over the best structure of this formula in the dataset, the calculation gives 0 meV/atom. The calculation puts the magnetic moment at 0.000 μB per formula unit. The energy relative to the elements, uncorrected comes out at 0.02 eV/atom.

Geometry as CIF:
```
data_TlZnIO2
_chemical_formula_sum 'Tl1 Zn1 I1 O2'
_symmetry_space_group_name_H-M 'P 1'
_symmetry_Int_Tables_number 1
_cell_length_a 4.193
_cell_length_b 4.193
_cell_length_c 5.767
_cell_angle_alpha 90.00
_cell_angle_beta 90.00
_cell_angle_gamma 90.00
loop_
_symmetry_equiv_pos_as_xyz
'x,y,z'
loop_
_atom_site_label
_atom_site_fract_x
_atom_site_fract_y
_atom_site_fract_z
_atom_site_occupancy
Tl1 0.000 0.000 0.000 1
Zn1 0.500 0.500 0.500 1
I1 0.500 0.500 0.000 1
O1 0.000 0.500 0.500 1
O2 0.500 0.000 0.500 1
```